Entry 1:
Here is a geometry-optimized CrBiPd3 structure from Alexandria. Energies are from GGA-PBE.

The space group is Pm-3m (No. 221) and the conventional cell measures 4.655, 4.655 and 4.655 Å, with angles of 90.00, 90.00 and 90.00 degrees. Symmetry generates all atoms from Cr at (0.000, 0.000, 0.000), Bi at (0.500, 0.500, 0.500) and Pd at (0.000, 0.000, 0.500).

For the formation energy, the calculation gives 645.5 meV/atom. Its calculated total energy is -5.1710 eV/atom. The magnetic moment is 0.00 μB per cell. The polymorph energy (0 for the lowest one) comes out at 0.0000 eV/atom.



Entry 2:
Here is a geometry-optimized CrBi3Pd structure from Alexandria. Energies are from GGA-PBE.

The space group is Pm-3m (No. 221) and the conventional cell measures 5.117, 5.117 and 5.117 Å, with angles of 90.00, 90.00 and 90.00 degrees. Symmetry generates all atoms from Cr at (0.000, 0.000, 0.000), Bi at (0.000, 0.000, 0.500) and Pd at (0.500, 0.500, 0.500).

For the formation energy, the calculation gives 601.1 meV/atom. Its calculated total energy is -4.6907 eV/atom. The magnetic moment is 0.55 μB per cell. The polymorph energy (0 for the lowest one) comes out at 0.0000 eV/atom.



Entry 3:
Here is a geometry-optimized CrBi2Pd9 structure from Alexandria. Energies are from GGA-PBE.

The space group is P4/mmm (No. 123) and the conventional cell measures 4.065, 4.065 and 12.202 Å, with angles of 90.00, 90.00 and 90.00 degrees. Symmetry generates all atoms from Cr at (0.000, 0.000, 0.000), Bi at (0.000, 0.000, 0.323), Pd at (0.000, 0.500, 0.155), Pd at (0.000, 0.500, 0.500), Pd at (0.500, 0.500, 0.000) and Pd at (0.500, 0.500, 0.332).

For the formation energy, the calculation gives -185.4 meV/atom. Its calculated total energy is -5.5288 eV/atom. The magnetic moment is 3.75 μB per cell.



Entry 4:
Here is a geometry-optimized CrBiPd14 structure from Alexandria. Energies are from GGA-PBE.

The space group is P4/mmm (No. 123) and the conventional cell measures 5.675, 5.675 and 7.857 Å, with angles of 90.00, 90.00 and 90.00 degrees. Symmetry generates all atoms from Cr at (0.000, 0.000, 0.000), Bi at (0.500, 0.500, 0.000), Pd at (0.000, 0.000, 0.500), Pd at (0.000, 0.500, 0.000), Pd at (0.000, 0.500, 0.500), Pd at (0.245, 0.245, 0.251) and Pd at (0.500, 0.500, 0.500).

For the formation energy, the calculation gives -72.9 meV/atom. Its calculated total energy is -5.4607 eV/atom. The magnetic moment is 2.51 μB per cell.



Entry 5:
Here is a geometry-optimized Cr2Bi2PdS6 structure from Alexandria. Energies are from GGA-PBE.

The space group is C2/m (No. 12) and the conventional cell measures 6.184, 10.771 and 7.556 Å, with angles of 90.00, 107.47 and 90.00 degrees. Symmetry generates all atoms from Cr at (0.000, 0.167, 0.000), Bi at (0.000, 0.193, 0.500), Pd at (0.000, 0.500, 0.000), S at (0.101, 0.000, 0.820) and S at (0.107, 0.328, 0.822).

For the uncorrected formation energy, the calculation gives -0.39 eV/atom. Its calculated total energy is -5.5664 eV/atom. The magnetic moment is 10.96 μB per cell.



Entry 6:
Here is a geometry-optimized TlCrBiPd2 structure from Alexandria. Energies are from GGA-PBE.

The space group is P4/mmm (No. 123) and the conventional cell measures 5.050, 5.050 and 5.114 Å, with angles of 90.00, 90.00 and 90.00 degrees. Symmetry generates all atoms from Tl at (0.000, 0.000, 0.000), Cr at (0.000, 0.000, 0.500), Bi at (0.500, 0.500, 0.500) and Pd at (0.000, 0.500, 0.000).

For the formation energy, the calculation gives 806.8 meV/atom. Its calculated total energy is -4.4445 eV/atom. The magnetic moment is 4.43 μB per cell.



Entry 7:
Here is a geometry-optimized PmCrBi2 structure from Alexandria. Energies are from GGA-PBE.

The space group is R-3m (No. 166, hexagonal axes) and the conventional cell measures 3.5434, 3.5434 and 33.1726 Å, with angles of 90.00, 90.00 and 120.00 degrees. Symmetry generates all atoms from Pm at (0.0000, 0.0000, 0.0000), Cr at (0.0000, 0.0000, 0.5000) and Bi at (0.0000, 0.0000, 0.4153).

For the formation energy, the calculation gives 258.7 meV/atom. Its calculated total energy is -5.2753 eV/atom. The magnetic moment is 13.99 μB per cell.



Entry 8:
Here is a geometry-optimized Pm3CrBi structure from Alexandria. Energies are from GGA-PBE.

The space group is Pm-3m (No. 221) and the conventional cell measures 5.242, 5.242 and 5.242 Å, with angles of 90.00, 90.00 and 90.00 degrees. Symmetry generates all atoms from Pm at (0.000, 0.000, 0.500), Cr at (0.000, 0.000, 0.000) and Bi at (0.500, 0.500, 0.500).

For the formation energy, the calculation gives 49.9 meV/atom. Its calculated total energy is -5.5014 eV/atom. The magnetic moment is 0.00 μB per cell.